Entry from the Alexandria database: NaRuW2O8 after structural relaxation (PBE+U). Values from VASP.

The structure in Quantum ESPRESSO input format:
```
&SYSTEM
  ibrav = 0, nat = 12, ntyp = 4
/
ATOMIC_SPECIES
Na 22.99 Na.upf
Ru 101.07 Ru.upf
W 183.84 W.upf
O 16.00 O.upf
CELL_PARAMETERS angstrom
3.3418 -3.4564 0.0000
3.3418 3.4564 0.0000
0.0000 0.0000 6.2195
ATOMIC_POSITIONS crystal
Na 0.0000 0.0000 0.0000
Ru 0.0000 0.0000 0.5000
W 0.5000 0.5000 0.2484
W 0.5000 0.5000 0.7516
O 0.2198 0.2198 0.2830
O 0.2198 0.2198 0.7170
O 0.3035 0.6965 0.5000
O 0.3213 0.6787 0.0000
O 0.6787 0.3213 0.0000
O 0.6965 0.3035 0.5000
O 0.7802 0.7802 0.2830
O 0.7802 0.7802 0.7170
```

Values from the calculation:
Raw total energy (eV/atom): -7.005
Calculated density (g/cm³): 7.16
Total moment (Bohr magnetons per cell): 1.1